1.
## TiTe2Au (GGA-PBE)

Data for a geometry-optimized TiTe2Au structure.

a b c (Å): 3.9104 3.9104 21.9614
angles (deg): 90.00 90.00 120.00
Space group R3m (No. 160, hexagonal axes)
Unique sites:
Ti  0.0000  0.0000  0.0000 x3
Te  0.0000  0.0000  0.5849 x3
Te  0.0000  0.0000  0.7425 x3
Au  0.0000  0.0000  0.1601 x3

## Properties
For the formation energy (no corrections), the calculation gives -0.25 eV/atom. The volume comes out at 24.2 A^3/atom. Its size of the total moment is 0.1996 μB/atom. As for the energy above the lowest structure with this stoichiometry: 166 meV/atom.

2.
## TiTe4Au2 (GGA-PBE)

Data for a geometry-optimized TiTe4Au2 structure.

a b c (Å): 7.6588 7.6689 8.2298
angles (deg): 65.44 65.40 73.52
Space group P1 (No. 1)
Unique sites:
Ti  0.0000  0.0000  0.0000 x1
Ti  0.0604  0.0594  0.4842 x1
Te  0.2118  0.2086  0.6286 x1
Te  0.2118  0.2117  0.0920 x1
Te  0.3249  0.7243  0.4925 x1
Te  0.3319  0.7312  0.9931 x1
Te  0.7246  0.3236  0.4929 x1
Te  0.7319  0.3317  0.9930 x1
Te  0.8468  0.8445  0.3917 x1
Te  0.8496  0.8511  0.8541 x1
Au  0.0295  0.5263  0.2451 x1
Au  0.5282  0.0285  0.2444 x1
Au  0.5278  0.5272  0.7432 x1
Au  0.5325  0.5319  0.2398 x1

## Properties
For the formation energy (no corrections), the calculation gives -0.23 eV/atom. The volume comes out at 28.3 A^3/atom. Its size of the total moment is 0.0000 μB/atom.

3.
## TiTe3Au (GGA-PBE)

Data for a geometry-optimized TiTe3Au structure.

a b c (Å): 5.2789 5.2789 5.2789
angles (deg): 90.00 90.00 90.00
Space group Pm-3m (No. 221)
Unique sites:
Ti  0.0000  0.0000  0.0000 x1
Te  0.0000  0.0000  0.5000 x3
Au  0.5000  0.5000  0.5000 x1

## Properties
For the formation energy (no corrections), the calculation gives 0.20 eV/atom. The volume comes out at 29.4 A^3/atom. Its size of the total moment is 0.0000 μB/atom. As for the energy above the lowest structure with this stoichiometry: 461 meV/atom.

4.
## TiTe2Au (GGA-PBE)

Data for a geometry-optimized TiTe2Au structure.

a b c (Å): 7.1006 7.1006 7.1006
angles (deg): 90.00 90.00 90.00
Space group Fm-3m (No. 225)
Unique sites:
Ti  0.0000  0.0000  0.0000 x4
Te  0.2500  0.2500  0.2500 x8
Au  0.0000  0.0000  0.5000 x4

## Properties
For the formation energy (no corrections), the calculation gives 0.03 eV/atom. The volume comes out at 22.4 A^3/atom. Its size of the total moment is 0.0065 μB/atom. As for the energy above the lowest structure with this stoichiometry: 440 meV/atom.

5.
## TiTlTe3Au (GGA-PBE)

Data for a geometry-optimized TiTlTe3Au structure.

a b c (Å): 8.6615 4.0413 10.5546
angles (deg): 90.00 111.69 90.00
Space group P2_1/m (No. 11)
Unique sites:
Ti  0.2078  0.2500  0.1761 x2
Tl  0.2334  0.7500  0.7221 x2
Te  0.0437  0.2500  0.8823 x2
Te  0.2202  0.2500  0.4378 x2
Te  0.4116  0.7500  0.1309 x2
Au  0.4246  0.7500  0.3911 x2

## Properties
For the formation energy (no corrections), the calculation gives -0.44 eV/atom. The volume comes out at 28.6 A^3/atom. Its size of the total moment is 0.0001 μB/atom.

6.
## TiTeWAu2 (GGA-PBE)

Data for a geometry-optimized TiTeWAu2 structure.

a b c (Å): 5.0317 5.0317 4.5994
angles (deg): 90.00 90.00 90.00
Space group P4/mmm (No. 123)
Unique sites:
Ti  0.0000  0.0000  0.0000 x1
Te  0.5000  0.5000  0.5000 x1
W  0.0000  0.0000  0.5000 x1
Au  0.0000  0.5000  0.0000 x2

## Properties
For the formation energy (no corrections), the calculation gives 1.19 eV/atom. The volume comes out at 23.3 A^3/atom. Its size of the total moment is 0.1057 μB/atom.

7.
## YTiTe2Au (GGA-PBE)

Data for a geometry-optimized YTiTe2Au structure.

a b c (Å): 5.8127 5.8127 5.3415
angles (deg): 90.00 90.00 90.00
Space group P4/mmm (No. 123)
Unique sites:
Y  0.0000  0.0000  0.0000 x1
Ti  0.5000  0.5000  0.5000 x1
Te  0.0000  0.5000  0.0000 x2
Au  0.0000  0.0000  0.5000 x1

## Properties
For the formation energy (no corrections), the calculation gives 0.21 eV/atom. The volume comes out at 36.1 A^3/atom. Its size of the total moment is 0.4034 μB/atom.

8.
## TiZnTe2Au (GGA-PBE)

Data for a geometry-optimized TiZnTe2Au structure.

a b c (Å): 5.5454 5.5454 4.6867
angles (deg): 90.00 90.00 90.00
Space group P4/mmm (No. 123)
Unique sites:
Ti  0.0000  0.0000  0.0000 x1
Zn  0.5000  0.5000  0.0000 x1
Te  0.0000  0.5000  0.5000 x2
Au  0.5000  0.5000  0.5000 x1

## Properties
For the formation energy (no corrections), the calculation gives 0.54 eV/atom. The volume comes out at 28.8 A^3/atom. Its size of the total moment is 0.1028 μB/atom.

9.
## Tl2TeAu (GGA-PBE)

Data for a geometry-optimized Tl2TeAu structure.

a b c (Å): 7.1627 7.1627 12.1749
angles (deg): 90.00 90.00 90.00
Space group I-42d (No. 122)
Unique sites:
Tl  0.2223  0.2500  0.1250 x8
Te  0.0000  0.0000  0.5000 x4
Au  0.0000  0.0000  0.0000 x4

## Properties
For the formation energy (no corrections), the calculation gives -0.01 eV/atom. The volume comes out at 39.0 A^3/atom. Its size of the total moment is 0.0000 μB/atom. As for the energy above the lowest structure with this stoichiometry: 107 meV/atom.

10.
## Tl2TeAu (GGA-PBE)

Data for a geometry-optimized Tl2TeAu structure.

a b c (Å): 4.3678 4.3678 21.9194
angles (deg): 90.00 90.00 120.00
Space group R3m (No. 160, hexagonal axes)
Unique sites:
Tl  0.0000  0.0000  0.0000 x3
Tl  0.0000  0.0000  0.1837 x3
Te  0.0000  0.0000  0.4240 x3
Au  0.0000  0.0000  0.5931 x3

## Properties
For the formation energy (no corrections), the calculation gives -0.08 eV/atom. The volume comes out at 30.2 A^3/atom. Its size of the total moment is 0.0000 μB/atom. As for the energy above the lowest structure with this stoichiometry: 41 meV/atom.

11.
## TlTe3Au3 (GGA-PBE)

Data for a geometry-optimized TlTe3Au3 structure.

a b c (Å): 7.7519 7.7519 7.7519
angles (deg): 90.00 90.00 90.00
Space group Pm-3n (No. 223)
Unique sites:
Tl  0.0000  0.0000  0.0000 x2
Te  0.0000  0.2500  0.5000 x6
Au  0.0000  0.5000  0.2500 x6

## Properties
For the formation energy (no corrections), the calculation gives -0.04 eV/atom. The volume comes out at 33.3 A^3/atom. Its size of the total moment is 0.0000 μB/atom.

12.
## Tl3Te12Au5 (GGA-PBE)

Data for a geometry-optimized Tl3Te12Au5 structure.

a b c (Å): 17.6121 17.6121 17.6121
angles (deg): 90.00 90.00 90.00
Space group Ia-3d (No. 230)
Unique sites:
Tl  0.0000  0.2500  0.1250 x24
Te  0.0139  0.0429  0.6532 x96
Au  0.0000  0.0000  0.0000 x16
Au  0.0000  0.2500  0.3750 x24

## Properties
For the formation energy (no corrections), the calculation gives 0.10 eV/atom. The volume comes out at 34.1 A^3/atom. Its size of the total moment is 0.0000 μB/atom.

- What is the volume in the ninth record?
  39.0 A^3/atom

Please write out number 6 again, unchanged.
## TiTeWAu2 (GGA-PBE)

Data for a geometry-optimized TiTeWAu2 structure.

a b c (Å): 5.0317 5.0317 4.5994
angles (deg): 90.00 90.00 90.00
Space group P4/mmm (No. 123)
Unique sites:
Ti  0.0000  0.0000  0.0000 x1
Te  0.5000  0.5000  0.5000 x1
W  0.0000  0.0000  0.5000 x1
Au  0.0000  0.5000  0.0000 x2

## Properties
For the formation energy (no corrections), the calculation gives 1.19 eV/atom. The volume comes out at 23.3 A^3/atom. Its size of the total moment is 0.1057 μB/atom.